[1]
Compound: BaTa5
Source: Alexandria
Functional: PBE-GGA
Structure: relaxed

abc: 6.161 6.161 4.336
angles: 90.00 90.00 120.00
Element x y z (fractional)
Ba1 0.000 0.000 0.500
Ta1 0.500 0.500 0.000
Ta2 0.333 0.667 0.500
Ta3 0.667 0.333 0.500
Ta4 0.500 0.000 0.000
Ta5 0.000 0.500 0.000

## Properties
E_form, eV/atom: 0.64
Total DFT energy (no corrections), Ry per atom: -0.703



[2]
Compound: CaSbPbI2
Source: Alexandria
Functional: PBE-GGA
Structure: relaxed

abc: 5.801 5.801 6.323
angles: 90.00 90.00 90.00
Element x y z (fractional)
I1 0.000 0.500 0.000
I2 0.500 0.000 0.000
Ca1 0.000 0.000 0.000
Sb1 0.000 0.000 0.500
Pb1 0.500 0.500 0.500

## Properties
Uncorrected formation energy, meV per atom: -247
Total DFT energy (no corrections), Ry per atom: -0.208



[3]
Compound: Ti4VH10
Source: Alexandria
Functional: PBE-GGA
Structure: relaxed

abc: 4.317 5.358 5.358
angles: 80.66 66.25 66.25
Element x y z (fractional)
Ti1 0.602 0.196 0.600
H1 0.561 0.099 0.291
Ti2 0.202 0.400 0.196
H2 0.439 0.901 0.709
H3 0.951 0.901 0.709
H4 0.049 0.099 0.291
V1 0.000 0.000 0.000
H5 0.852 0.709 0.099
H6 0.341 0.709 0.099
Ti3 0.798 0.600 0.804
Ti4 0.398 0.804 0.400
H7 0.750 0.500 0.500
H8 0.250 0.500 0.500
H9 0.148 0.291 0.901
H10 0.659 0.291 0.901

## Properties
Total DFT energy (no corrections), Ry per atom: -0.397